GdY2In after structural relaxation, computed with PBE-GGA.

Properties
- distance to the lowest polymorph of the same formula (eV/atom) = 0.1272
- ρ (g/cm3) = 6.47
- total magnetic moment (μB/f.u.) = 8.577
- energy of formation from the pure elements (eV/atom) = -0.16
- raw total energy (eV for the cell shown) = -121.6

a = 7.7307 Å, b = 7.7307 Å, c = 7.7307 Å
α = 90.00°, β = 90.00°, γ = 90.00°
Atoms (fractional coordinates):
Gd: 0.0000 0.0000 0.0000
Gd: 0.0000 0.5000 0.5000
Gd: 0.5000 0.0000 0.5000
Gd: 0.5000 0.5000 0.0000
Y: 0.2500 0.2500 0.2500
Y: 0.2500 0.2500 0.7500
Y: 0.2500 0.7500 0.2500
Y: 0.2500 0.7500 0.7500
Y: 0.7500 0.2500 0.2500
Y: 0.7500 0.2500 0.7500
Y: 0.7500 0.7500 0.2500
Y: 0.7500 0.7500 0.7500
In: 0.0000 0.0000 0.5000
In: 0.0000 0.5000 0.0000
In: 0.5000 0.0000 0.0000
In: 0.5000 0.5000 0.5000